Sb2Rh2Au after structural relaxation, computed with GGA-PBE.

It has space group P4/mbm (No. 127), with a = 7.710 Å, b = 7.710 Å, c = 3.192 Å, α = 90.00°, β = 90.00° and γ = 90.00°. Symmetry generates all atoms from Sb at (0.155, 0.345, 0.000), Rh at (0.137, 0.637, 0.500) and Au at (0.000, 0.000, 0.000).

As for the density of states at the Fermi level: 10.367 states/eV/cell. As for the uncorrected formation energy: -0.071 eV per atom.

=====

AlP2Pb after structural relaxation, computed with GGA-PBE.

It has space group I-4m2 (No. 119), with a = 3.825 Å, b = 3.825 Å, c = 11.383 Å, α = 90.00°, β = 90.00° and γ = 90.00°. Symmetry generates all atoms from Al at (0.000, 0.000, 0.000), P at (0.000, 0.000, 0.500), P at (0.000, 0.500, 0.750) and Pb at (0.000, 0.500, 0.250).

The calculation puts the energy of formation at 0.456 eV/atom. As for the density of states at the Fermi level: 3.866 states/eV/cell.

=====

PaIn2Ag after structural relaxation, computed with GGA-PBE.

It has space group P4/mmm (No. 123), with a = 3.124 Å, b = 3.124 Å, c = 9.203 Å, α = 90.00°, β = 90.00° and γ = 90.00°. Symmetry generates all atoms from Pa at (0.000, 0.000, 0.000), In at (0.500, 0.500, 0.272) and Ag at (0.000, 0.000, 0.500).

The calculation puts the energy of formation at -0.010 eV/atom. As for the density of states at the Fermi level: 3.528 states/eV/cell.